[1]
Computed, not measured: KLaGa2 at its PBEsol-relaxed geometry at the meta-GGA SCAN level of DFT.

Structure (CIF):
```
data_KLaGa2
_cell_length_a 7.534
_cell_length_b 7.534
_cell_length_c 7.534
_cell_angle_alpha 90.00
_cell_angle_beta 90.00
_cell_angle_gamma 90.00
_space_group_name_H-M_alt 'F m -3 m'
_space_group_IT_number 225
_space_group_name_Hall '-F 4 2 3'
loop_
_atom_site_label
_atom_site_type_symbol
_atom_site_fract_x
_atom_site_fract_y
_atom_site_fract_z
K1 K 0.000 0.000 0.000
La1 La 0.000 0.000 0.500
Ga1 Ga 0.250 0.250 0.250
```

Calculated values
VASP energy (eV/atom): -21.21

[2]
Computed, not measured: ReOsPt at its PBEsol-relaxed geometry at the meta-GGA SCAN level of DFT.

Structure (CIF):
```
data_ReOsPt
_cell_length_a 2.7309
_cell_length_b 2.7309
_cell_length_c 6.7449
_cell_angle_alpha 90.00
_cell_angle_beta 90.00
_cell_angle_gamma 120.00
_space_group_name_H-M_alt 'P 3 m 1'
_space_group_IT_number 156
loop_
_space_group_symop_operation_xyz
'x,y,z'
'-y,x-y,z'
'-x+y,-x,z'
'-y,-x,z'
'-x+y,y,z'
'x,x-y,z'
loop_
_atom_site_label
_atom_site_type_symbol
_atom_site_fract_x
_atom_site_fract_y
_atom_site_fract_z
Re1 Re 0.0000 0.0000 0.0000
Os1 Os 0.3333 0.6667 0.6895
Pt1 Pt 0.6667 0.3333 0.3424
```

Calculated values
Excess energy over the best structure of this formula in the dataset (meV per atom): 0.0

[3]
Computed, not measured: Y3BePb at its PBEsol-relaxed geometry at the meta-GGA SCAN level of DFT.

Structure (CIF):
```
data_Y3BePb
_cell_length_a 5.113
_cell_length_b 5.113
_cell_length_c 5.113
_cell_angle_alpha 90.00
_cell_angle_beta 90.00
_cell_angle_gamma 90.00
_space_group_name_H-M_alt 'P m -3 m'
_space_group_IT_number 221
_space_group_name_Hall '-P 4 2 3'
loop_
_atom_site_label
_atom_site_type_symbol
_atom_site_fract_x
_atom_site_fract_y
_atom_site_fract_z
Y1 Y 0.000 0.000 0.500
Be1 Be 0.000 0.000 0.000
Pb1 Pb 0.500 0.500 0.500
```

Calculated values
VASP energy (eV/atom): -32.93

[4]
Computed, not measured: Si2Sn2Br at its PBEsol-relaxed geometry at the meta-GGA SCAN level of DFT.

Structure (CIF):
```
data_Si2Sn2Br
_cell_length_a 3.625
_cell_length_b 3.625
_cell_length_c 17.645
_cell_angle_alpha 90.00
_cell_angle_beta 90.00
_cell_angle_gamma 90.00
_space_group_name_H-M_alt 'I 4/m m m'
_space_group_IT_number 139
_space_group_name_Hall '-I 4 2'
loop_
_atom_site_label
_atom_site_type_symbol
_atom_site_fract_x
_atom_site_fract_y
_atom_site_fract_z
Si1 Si 0.000 0.500 0.250
Sn1 Sn 0.000 0.000 0.121
Br1 Br 0.000 0.000 0.500
```

Calculated values
ΔE_f (raw) (eV per atom): 0.154

[5]
Computed, not measured: AlCu3 at its PBEsol-relaxed geometry at the meta-GGA SCAN level of DFT.

Structure (CIF):
```
data_AlCu3
_cell_length_a 2.741
_cell_length_b 3.256
_cell_length_c 5.382
_cell_angle_alpha 90.00
_cell_angle_beta 90.00
_cell_angle_gamma 90.00
_space_group_name_H-M_alt 'P m m m'
_space_group_IT_number 47
loop_
_space_group_symop_operation_xyz
'x,y,z'
'-x,-y,-z'
'-x,-y,z'
'x,y,-z'
'x,-y,-z'
'-x,y,z'
'-x,y,-z'
'x,-y,z'
loop_
_atom_site_label
_atom_site_type_symbol
_atom_site_fract_x
_atom_site_fract_y
_atom_site_fract_z
Al1 Al 0.000 0.000 0.000
Cu1 Cu 0.000 0.000 0.500
Cu2 Cu 0.500 0.500 0.256
```

Calculated values
VASP energy (eV/atom): -13.54

[6]
Computed, not measured: KTi2SnSe at its PBEsol-relaxed geometry at the meta-GGA SCAN level of DFT.

Structure (CIF):
```
data_KTi2SnSe
_cell_length_a 4.807
_cell_length_b 4.807
_cell_length_c 5.775
_cell_angle_alpha 90.00
_cell_angle_beta 90.00
_cell_angle_gamma 90.00
_space_group_name_H-M_alt 'P 4/m m m'
_space_group_IT_number 123
_space_group_name_Hall '-P 4 2'
loop_
_atom_site_label
_atom_site_type_symbol
_atom_site_fract_x
_atom_site_fract_y
_atom_site_fract_z
K1 K 0.000 0.000 0.000
Ti1 Ti 0.000 0.500 0.500
Sn1 Sn 0.500 0.500 0.000
Se1 Se 0.500 0.500 0.500
```

Calculated values
ΔE_f (raw) (eV per atom): 0.286

[7]
Computed, not measured: Ta2SiHg at its PBEsol-relaxed geometry at the meta-GGA SCAN level of DFT.

Structure (CIF):
```
data_Ta2SiHg
_cell_length_a 2.9268
_cell_length_b 2.9268
_cell_length_c 27.7848
_cell_angle_alpha 90.00
_cell_angle_beta 90.00
_cell_angle_gamma 120.00
_space_group_name_H-M_alt 'R -3 m'
_space_group_IT_number 166
_space_group_name_Hall '-R 3 2"'
loop_
_atom_site_label
_atom_site_type_symbol
_atom_site_fract_x
_atom_site_fract_y
_atom_site_fract_z
Ta1 Ta 0.0000 0.0000 0.2446
Si1 Si 0.0000 0.0000 0.5000
Hg1 Hg 0.0000 0.0000 0.0000
```

Calculated values
ΔE_f (raw) (eV per atom): 0.182

[8]
Computed, not measured: TaRe2Pt at its PBEsol-relaxed geometry at the meta-GGA SCAN level of DFT.

Structure (CIF):
```
data_TaRe2Pt
_cell_length_a 2.780
_cell_length_b 3.935
_cell_length_c 5.620
_cell_angle_alpha 90.00
_cell_angle_beta 90.00
_cell_angle_gamma 90.00
_space_group_name_H-M_alt 'P m m 2'
_space_group_IT_number 25
loop_
_space_group_symop_operation_xyz
'x,y,z'
'-x,-y,z'
'-x,y,z'
'x,-y,z'
loop_
_atom_site_label
_atom_site_type_symbol
_atom_site_fract_x
_atom_site_fract_y
_atom_site_fract_z
Ta1 Ta 0.000 0.000 0.000
Re1 Re 0.000 0.000 0.520
Re2 Re 0.500 0.500 0.728
Pt1 Pt 0.500 0.500 0.249
```

Calculated values
Excess energy over the best structure of this formula in the dataset (meV per atom): 86.3